# 1
Ti2SbAs PBE-GGA optimized geometry; electronic total energy = -6.821 eV/atom; volume = 19.376 A^3/atom; ρ = 6.27 g/cm³; space-group type = No. 160; DOS(E_F) = 1.19 states/eV/f.u.
1.0
-2.404 1.773 -2.212
-3.649 -0.205 0.678
-1.611 5.775 3.259
Ti As Sb
2 1 1
Cartesian
-1.698 4.658 2.457
-1.931 1.644 0.294
-5.648 6.800 2.223
-3.831 3.688 0.874

---

# 2
LaHoHgOs PBE-GGA optimized geometry; formation enthalpy at 0 K = -179.4 meV/atom; electronic total energy = -5.439 eV/atom; volume = 23.920 A^3/atom; ρ = 12.06 g/cm³; space-group type = No. 216; DOS(E_F) = 2.41 states/eV/f.u.
1.0
-3.610 -3.650 -0.035
-0.987 -2.675 4.269
-4.411 0.728 2.523
Ho Os La Hg
1 1 1 1
Cartesian
0.000 0.000 0.000
-2.252 -1.399 1.689
-4.504 -2.798 3.379
-6.757 -4.198 5.068

---

# 3
Ta2Ni PBE-GGA optimized geometry; formation enthalpy at 0 K = 87.5 meV/atom; electronic total energy = -9.741 eV/atom; volume = 16.139 A^3/atom; ρ = 14.42 g/cm³; space-group type = No. 63; DOS(E_F) = 2.97 states/eV/f.u.
1.0
-7.422 1.904 -1.641
6.167 -4.307 2.196
-0.614 1.313 4.300
Ta Ni
4 2
Cartesian
-1.468 -0.559 1.158
-5.724 1.387 -0.044
3.855 -2.476 4.898
-0.401 -0.531 3.696
-4.934 1.542 2.416
3.066 -2.631 2.438

---

no.,total moment (μB per cell)
1,0.00
2,0.00
3,0.00